Material: Rb4Dy6F19
Method: DFT, PBE-GGA
State: relaxed

Structure (CIF):
```
data_Rb4Dy6F19
_chemical_formula_sum 'Rb8 Dy12 F38'
_cell_length_a 11.1860
_cell_length_b 11.1860
_cell_length_c 11.1860
_cell_angle_alpha 90.00
_cell_angle_beta 90.00
_cell_angle_gamma 90.00
_space_group_name_H-M_alt 'I 2 3'
_space_group_IT_number 197
_space_group_name_Hall 'I 2 2 3'
loop_
_atom_site_label
_atom_site_fract_x
_atom_site_fract_y
_atom_site_fract_z
Rb1 0.1368 0.1368 0.8632
Dy1 0.0000 0.3388 0.5000
F1 0.0000 0.0000 0.0000
F2 0.0000 0.0000 0.3805
F3 0.0025 0.3631 0.6968
```

**V**: 24.132 A^3/atom
**N(E_F)**: 5.783 states/eV/f.u.
**Final energy**: -5.818 eV/atom
**Total magnetic moment**: 0.0 μB per formula unit

Material: Rb2DyF5
Method: DFT, PBE-GGA
State: relaxed

Structure (CIF):
```
data_Rb2DyF5
_chemical_formula_sum 'Rb2 Dy1 F5'
_cell_length_a 6.6373
_cell_length_b 6.6373
_cell_length_c 4.3562
_cell_angle_alpha 90.00
_cell_angle_beta 90.00
_cell_angle_gamma 90.00
_space_group_name_H-M_alt 'P 4/m m m'
_space_group_IT_number 123
_space_group_name_Hall '-P 4 2'
loop_
_atom_site_label
_atom_site_fract_x
_atom_site_fract_y
_atom_site_fract_z
Rb1 0.0000 0.5000 0.0000
Dy1 0.0000 0.0000 0.5000
F1 0.0000 0.0000 0.0000
F2 0.2301 0.2301 0.5000
```

**V**: 23.989 A^3/atom
**N(E_F)**: 0.000 states/eV/f.u.
**Final energy**: -5.382 eV/atom
**Total magnetic moment**: 0.1 μB per formula unit

Material: RbDySn2F8
Method: DFT, PBE-GGA
State: relaxed

Structure (CIF):
```
data_RbDySn2F8
_chemical_formula_sum 'Rb1 Dy1 Sn2 F8'
_cell_length_a 6.2228
_cell_length_b 4.2071
_cell_length_c 8.4693
_cell_angle_alpha 90.00
_cell_angle_beta 95.99
_cell_angle_gamma 90.00
_space_group_name_H-M_alt 'P 1 2/m 1'
_space_group_IT_number 10
_space_group_name_Hall '-P 2y'
loop_
_atom_site_label
_atom_site_fract_x
_atom_site_fract_y
_atom_site_fract_z
Rb1 0.0000 0.0000 0.0000
Dy1 0.0000 0.0000 0.5000
Sn1 0.4643 0.5000 0.7500
F1 0.1838 0.5000 0.5570
F2 0.2047 0.0000 0.3104
F3 0.2779 0.5000 0.9441
F4 0.2864 0.0000 0.7127
```

**V**: 18.377 A^3/atom
**N(E_F)**: 0.000 states/eV/f.u.
**Final energy**: -5.346 eV/atom
**Total magnetic moment**: 0.0 μB per formula unit

Q: Look up the V of the third one.
A: 18.377 A^3/atom

Q: Which of these has the highest V?
A: Rb4Dy6F19

Q: Which of these has the lowest V?
A: RbDySn2F8